[1]
Material: LiHo2MnGa6
Method: DFT, PBE-GGA
State: optimized geometry

a b c (Å): 6.4543 6.4542 6.4447
angles (deg): 59.97 59.97 90.03
Closest atoms and distances in Å follow each position.
Positions (direct):
Ho: 0.7498 0.2502 0.5000  12 Ga 3.22-3.23
Ho: 0.2502 0.7498 0.5000  12 Ga 3.22-3.23
Li: 0.5000 0.5000 0.0000  6 Ga 2.21
Ga: 0.7422 0.7422 0.0004  1 Li 2.21, 1 Mn 2.35
Ga: 0.7428 0.7428 0.5151  1 Li 2.21, 1 Mn 2.34
Ga: 0.2577 0.7423 0.0000  1 Li 2.21, 1 Mn 2.35
Ga: 0.7423 0.2577 0.0000  1 Li 2.21, 1 Mn 2.35
Ga: 0.2572 0.2572 0.4849  1 Li 2.21, 1 Mn 2.34
Ga: 0.2578 0.2578 0.9996  1 Li 2.21, 1 Mn 2.35
Mn: 0.0000 0.0000 0.0000  6 Ga 2.34-2.35

[2]
Material: La3TbHo6Er2
Method: DFT, PBE-GGA
State: optimized geometry

a b c (Å): 6.2075 6.2075 11.8300
angles (deg): 95.02 95.02 120.01
Closest atoms and distances in Å follow each position.
Positions (direct):
Ho: 0.7473 0.7473 0.2438  2 Er 3.51, 1 Tb 3.52, 6 Ho 3.58-3.59, 3 La 3.63
Ho: 0.2527 0.2527 0.7562  2 Er 3.51, 1 Tb 3.52, 6 Ho 3.58-3.59, 3 La 3.63
Ho: 0.9190 0.5854 0.7563  2 Er 3.51, 1 Tb 3.51, 6 Ho 3.58-3.59, 3 La 3.63
Ho: 0.4146 0.0810 0.2437  2 Er 3.51, 1 Tb 3.51, 6 Ho 3.58-3.59, 3 La 3.63
Ho: 0.0810 0.4146 0.2437  2 Er 3.51, 1 Tb 3.51, 6 Ho 3.58-3.59, 3 La 3.63
Ho: 0.5854 0.9190 0.7563  2 Er 3.51, 1 Tb 3.51, 6 Ho 3.58-3.59, 3 La 3.63
La: 0.8332 0.1668 0.5000  6 La 3.58-3.59, 6 Ho 3.63
La: 0.5000 0.5000 0.5000  6 La 3.58, 6 Ho 3.63
La: 0.1668 0.8332 0.5000  6 La 3.58-3.59, 6 Ho 3.63
Er: 0.3333 0.6667 0.0000  6 Ho 3.51, 3 Er 3.58, 3 Tb 3.58
Er: 0.6667 0.3333 0.0000  6 Ho 3.51, 3 Er 3.58, 3 Tb 3.58
Tb: 0.0000 0.0000 0.0000  6 Ho 3.51-3.52, 6 Er 3.58

Number 1: E_form -155 kJ/mol of formula units, V 189.61 Å³ per cell, size of the total moment 2.3 μB/f.u.. Number 2: E_form 28 kJ/mol of formula units, V 388.66 Å³ per cell, size of the total moment 0.0 μB/f.u..